LiMn4: optimized geometry, PBE.

It has space group Im-3m (No. 229), with a = 5.563 Å, b = 5.563 Å, c = 5.563 Å, α = 90.00°, β = 90.00° and γ = 90.00°. The distinct sites, in fractional coordinates, are Li at (0.000, 0.000, 0.000) and Mn at (0.250, 0.250, 0.250).

As for the magnetization: 30.88 μB per cell. The value obtained for the formation energy is 1224 meV per atom. Its distance to the lowest polymorph of the same formula is 0.052 eV/atom.

---

Y2Al2ZnPt5: optimized geometry, PBE.

It has space group P4/mbm (No. 127), with a = 9.809 Å, b = 9.809 Å, c = 3.668 Å, α = 90.00°, β = 90.00° and γ = 90.00°. The distinct sites, in fractional coordinates, are Y at (0.177, 0.323, 0.000), Al at (0.123, 0.623, 0.000), Zn at (0.000, 0.000, 0.000), Pt at (0.000, 0.500, 0.500) and Pt at (0.064, 0.795, 0.500).

As for the magnetization: 0.00 μB per cell. The value obtained for the formation energy is -933 meV per atom.

---

Question: The lowest magnetization belongs to which entry?
Answer: Y2Al2ZnPt5